1.
This record from the Alexandria database describes crystalline RbBeMo3 at its relaxed geometry. The functional is GGA-PBEsol.

## Properties
Space group = Pm-3m
Raw total energy = -23.1 eV for the cell shown
DFT formation energy = 3455 meV per atom
DOS at the Fermi energy = 1.04 states/eV/atom

a = 4.569 Å, b = 4.569 Å, c = 4.569 Å
α = 90.00°, β = 90.00°, γ = 90.00°
Fractional coordinates of all 5 atoms:
1 Be 0.500 0.500 0.500
2 Rb 0.000 0.000 0.000
3 Mo 0.000 0.000 0.500
4 Mo 0.000 0.500 0.000
5 Mo 0.500 0.000 0.000

2.
This record from the Alexandria database describes crystalline MnCu at its relaxed geometry. The functional is GGA-PBEsol.

## Properties
Space group = P-6m2
Raw total energy = -13.4 eV for the cell shown
DFT formation energy = 332 meV per atom
DOS at the Fermi energy = 1.45 states/eV/atom

a = 2.458 Å, b = 2.458 Å, c = 4.245 Å
α = 90.00°, β = 90.00°, γ = 120.00°
Fractional coordinates of all 2 atoms:
1 Cu 0.000 0.000 0.000
2 Mn 0.667 0.333 0.500

3.
This record from the Alexandria database describes crystalline SrLa2S4 at its relaxed geometry. The functional is GGA-PBEsol.

## Properties
Space group = I-42d
Raw total energy = -91.5 eV for the cell shown
DOS at the Fermi energy = 0.00 states/eV/atom
ΔE_f (raw) = -2.241 eV per atom

a = 7.508 Å, b = 7.508 Å, c = 7.508 Å
α = 109.40°, β = 109.40°, γ = 109.62°
Fractional coordinates of all 14 atoms:
1 La 0.625 0.246 0.121
2 Sr 0.250 0.750 0.500
3 S 0.868 0.617 0.595
4 S 0.228 0.133 0.751
5 S 0.523 0.772 0.905
6 S 0.727 0.132 0.749
7 La 0.754 0.875 0.379
8 S 0.867 0.618 0.095
9 S 0.382 0.477 0.249
10 La 0.496 0.375 0.621
11 S 0.022 0.273 0.405
12 S 0.383 0.978 0.251
13 La 0.125 0.504 0.879
14 Sr 0.000 0.000 0.000

4.
This record from the Alexandria database describes crystalline CaTeBr at its relaxed geometry. The functional is GGA-PBEsol.

## Properties
Space group = P3m1
Raw total energy = -11.3 eV for the cell shown
DOS at the Fermi energy = 0.55 states/eV/atom
ΔE_f (raw) = -1.261 eV per atom

a = 3.890 Å, b = 3.890 Å, c = 7.485 Å
α = 90.00°, β = 90.00°, γ = 120.00°
Fractional coordinates of all 3 atoms:
1 Br 0.000 0.000 0.917
2 Ca 0.333 0.667 0.691
3 Te 0.667 0.333 0.392

5.
This record from the Alexandria database describes crystalline KIr2Au at its relaxed geometry. The functional is GGA-PBEsol.

## Properties
Space group = P2/m
Raw total energy = -21.6 eV for the cell shown
DFT formation energy = 774 meV per atom
DOS at the Fermi energy = 1.35 states/eV/atom

a = 2.711 Å, b = 4.942 Å, c = 5.340 Å
α = 90.00°, β = 96.54°, γ = 90.00°
Fractional coordinates of all 4 atoms:
1 Au 0.000 0.500 0.500
2 K 0.500 0.500 0.000
3 Ir 0.802 0.000 0.709
4 Ir 0.198 0.000 0.291

6.
This record from the Alexandria database describes crystalline Sm3IrO7 at its relaxed geometry. The functional is GGA-PBEsol.

## Properties
Space group = Cmcm
Raw total energy = -181.6 eV for the cell shown
DOS at the Fermi energy = 0.48 states/eV/atom
ΔE_f (raw) = -2.631 eV per atom

a = 6.483 Å, b = 6.483 Å, c = 7.422 Å
α = 90.00°, β = 90.00°, γ = 111.14°
Fractional coordinates of all 22 atoms:
1 Sm 0.079 0.525 0.750
2 Ir 0.500 0.500 0.500
3 O 0.107 0.843 0.250
4 O 0.843 0.107 0.250
5 O 0.817 0.563 0.539
6 O 0.817 0.563 0.961
7 O 0.893 0.157 0.750
8 O 0.183 0.437 0.039
9 O 0.437 0.183 0.461
10 Sm 0.921 0.475 0.250
11 O 0.157 0.893 0.750
12 Sm 0.525 0.079 0.750
13 O 0.437 0.183 0.039
14 O 0.563 0.817 0.961
15 Ir 0.500 0.500 0.000
16 O 0.563 0.817 0.539
17 O 0.409 0.409 0.750
18 Sm 0.000 0.000 0.000
19 O 0.591 0.591 0.250
20 Sm 0.475 0.921 0.250
21 Sm 0.000 0.000 0.500
22 O 0.183 0.437 0.461

7.
This record from the Alexandria database describes crystalline TcSb5 at its relaxed geometry. The functional is GGA-PBEsol.

## Properties
Space group = F-43m
Raw total energy = -28.3 eV for the cell shown
DOS at the Fermi energy = 0.75 states/eV/atom
ΔE_f (raw) = 0.964 eV per atom

a = 6.054 Å, b = 6.054 Å, c = 6.054 Å
α = 60.00°, β = 60.00°, γ = 60.00°
Fractional coordinates of all 6 atoms:
1 Tc 0.000 0.000 0.000
2 Sb 0.626 0.626 0.626
3 Sb 0.626 0.123 0.626
4 Sb 0.250 0.250 0.250
5 Sb 0.626 0.626 0.123
6 Sb 0.123 0.626 0.626

8.
This record from the Alexandria database describes crystalline Ta3AgO8 at its relaxed geometry. The functional is GGA-PBEsol.

## Properties
Space group = P2_1/c
Raw total energy = -450.6 eV for the cell shown
DOS at the Fermi energy = 0.00 states/eV/atom
ΔE_f (raw) = -2.475 eV per atom

a = 5.199 Å, b = 7.636 Å, c = 15.237 Å
α = 101.46°, β = 90.00°, γ = 90.00°
Fractional coordinates of all 48 atoms:
1 Ta 0.745 0.175 0.165
2 O 0.563 0.214 0.276
3 O 0.591 0.205 0.783
4 O 0.052 0.798 0.444
5 Ta 0.759 0.166 0.665
6 O 0.552 0.702 0.056
7 Ag 0.743 0.157 0.420
8 O 0.063 0.286 0.224
9 Ta 0.255 0.825 0.835
10 O 0.644 0.668 0.535
11 O 0.409 0.795 0.217
12 Ag 0.257 0.843 0.580
13 O 0.553 0.884 0.401
14 Ta 0.258 0.339 0.584
15 Ta 0.742 0.661 0.416
16 Ta 0.755 0.675 0.665
17 O 0.087 0.062 0.845
18 O 0.146 0.071 0.343
19 O 0.854 0.929 0.657
20 Ag 0.757 0.657 0.920
21 O 0.909 0.705 0.283
22 Ag 0.243 0.343 0.080
23 Ta 0.741 0.666 0.165
24 O 0.448 0.298 0.944
25 O 0.937 0.714 0.776
26 Ta 0.242 0.839 0.084
27 O 0.646 0.429 0.157
28 O 0.437 0.786 0.724
29 O 0.587 0.438 0.655
30 O 0.925 0.440 0.390
31 O 0.356 0.332 0.465
32 O 0.354 0.571 0.843
33 O 0.144 0.832 0.965
34 Ta 0.758 0.161 0.916
35 O 0.075 0.560 0.610
36 O 0.856 0.168 0.035
37 O 0.413 0.562 0.345
38 O 0.947 0.384 0.901
39 Ta 0.241 0.834 0.335
40 Ta 0.245 0.325 0.335
41 O 0.053 0.616 0.099
42 O 0.425 0.060 0.110
43 O 0.091 0.295 0.717
44 O 0.575 0.940 0.890
45 O 0.447 0.116 0.599
46 O 0.948 0.202 0.556
47 O 0.913 0.938 0.155
48 Ta 0.259 0.334 0.835

9.
This record from the Alexandria database describes crystalline SrMgGe at its relaxed geometry. The functional is GGA-PBEsol.

## Properties
Space group = Pnma
Raw total energy = -40.8 eV for the cell shown
DFT formation energy = -568 meV per atom
DOS at the Fermi energy = 0.03 states/eV/atom

a = 4.587 Å, b = 7.773 Å, c = 8.480 Å
α = 90.00°, β = 90.00°, γ = 90.00°
Fractional coordinates of all 12 atoms:
1 Mg 0.750 0.356 0.936
2 Ge 0.250 0.779 0.389
3 Sr 0.250 0.515 0.683
4 Ge 0.750 0.721 0.889
5 Sr 0.750 0.985 0.183
6 Sr 0.250 0.015 0.817
7 Ge 0.750 0.221 0.611
8 Sr 0.750 0.485 0.317
9 Ge 0.250 0.279 0.111
10 Mg 0.750 0.856 0.564
11 Mg 0.250 0.644 0.064
12 Mg 0.250 0.144 0.436

10.
This record from the Alexandria database describes crystalline LiMnMo2 at its relaxed geometry. The functional is GGA-PBEsol.

## Properties
Space group = Immm
Raw total energy = -33.7 eV for the cell shown
DFT formation energy = 396 meV per atom
DOS at the Fermi energy = 1.00 states/eV/atom

a = 3.013 Å, b = 4.221 Å, c = 4.998 Å
α = 114.98°, β = 107.54°, γ = 90.00°
Fractional coordinates of all 4 atoms:
1 Mn 0.000 0.500 0.000
2 Li 0.500 0.000 0.000
3 Mo 0.261 0.261 0.523
4 Mo 0.739 0.739 0.477

11.
This record from the Alexandria database describes crystalline Y2CoAu at its relaxed geometry. The functional is GGA-PBEsol.

## Properties
Space group = P4/mmm
Raw total energy = -27.2 eV for the cell shown
DFT formation energy = -481 meV per atom
DOS at the Fermi energy = 0.76 states/eV/atom

a = 3.395 Å, b = 3.395 Å, c = 6.935 Å
α = 90.00°, β = 90.00°, γ = 90.00°
Fractional coordinates of all 4 atoms:
1 Y 0.000 0.000 0.268
2 Y 0.000 0.000 0.732
3 Co 0.500 0.500 0.500
4 Au 0.500 0.500 0.000

12.
This record from the Alexandria database describes crystalline BaZr2SiTe at its relaxed geometry. The functional is GGA-PBEsol.

## Properties
Space group = P4/mmm
Raw total energy = -29.3 eV for the cell shown
DOS at the Fermi energy = 1.46 states/eV/atom
ΔE_f (raw) = 0.053 eV per atom

a = 5.021 Å, b = 5.021 Å, c = 5.993 Å
α = 90.00°, β = 90.00°, γ = 90.00°
Fractional coordinates of all 5 atoms:
1 Zr 0.500 0.000 0.000
2 Te 0.500 0.500 0.500
3 Si 0.000 0.000 0.000
4 Zr 0.000 0.500 0.000
5 Ba 0.000 0.000 0.500

> What is the formula in the eleventh record?

Y2CoAu